Computed, not measured: crystalline TlCdMo at its relaxed geometry at the PBE level of DFT.

Cell and atoms, written as POSCAR:
```
TlCdMo
1.0
0.0000 3.3235 3.3235
3.3235 0.0000 3.3235
3.3235 3.3235 0.0000
Tl Cd Mo
1 1 1
Direct
0.0000 0.0000 0.0000
0.5000 0.5000 0.5000
0.7500 0.7500 0.7500
```

Results
Polymorph energy (0 for the lowest one) = 0.00 eV/f.u.
Symmetry = F-43m

---

Computed, not measured: crystalline TmCdMo at its relaxed geometry at the PBE level of DFT.

Cell and atoms, written as POSCAR:
```
TmCdMo
1.0
0.0000 3.3907 3.3907
3.3907 0.0000 3.3907
3.3907 3.3907 0.0000
Tm Cd Mo
1 1 1
Direct
0.0000 0.0000 0.0000
0.7500 0.7500 0.7500
0.2500 0.2500 0.2500
```

Results
Polymorph energy (0 for the lowest one) = 0.89 eV/f.u.
Symmetry = F-43m

---

Computed, not measured: crystalline TmCdMo at its relaxed geometry at the PBE level of DFT.

Cell and atoms, written as POSCAR:
```
TmCdMo
1.0
0.0000 3.3674 3.3674
3.3674 0.0000 3.3674
3.3674 3.3674 0.0000
Tm Cd Mo
1 1 1
Direct
0.0000 0.0000 0.0000
0.5000 0.5000 0.5000
0.7500 0.7500 0.7500
```

Results
Polymorph energy (0 for the lowest one) = 0.00 eV/f.u.
Symmetry = F-43m

---

Computed, not measured: crystalline YCdMo2 at its relaxed geometry at the PBE level of DFT.

Cell and atoms, written as POSCAR:
```
YCdMo2
1.0
0.0000 3.3809 3.3809
3.3809 0.0000 3.3809
3.3809 3.3809 0.0000
Y Cd Mo
1 1 2
Direct
0.0000 0.0000 0.0000
0.2500 0.2500 0.2500
0.5000 0.5000 0.5000
0.7500 0.7500 0.7500
```

Results
Symmetry = F-43m
Final energy = -6.898 eV/atom

---

Computed, not measured: crystalline Zn2CdMo at its relaxed geometry at the PBE level of DFT.

Cell and atoms, written as POSCAR:
```
Zn2CdMo
1.0
0.0000 3.2135 3.2135
3.2135 0.0000 3.2135
3.2135 3.2135 0.0000
Zn Cd Mo
2 1 1
Direct
0.0000 0.0000 0.0000
0.2500 0.2500 0.2500
0.5000 0.5000 0.5000
0.7500 0.7500 0.7500
```

Results
Symmetry = F-43m
Final energy = -3.100 eV/atom

---

Computed, not measured: crystalline ZnCd2Mo at its relaxed geometry at the PBE level of DFT.

Cell and atoms, written as POSCAR:
```
ZnCd2Mo
1.0
0.0000 3.3144 3.3144
3.3144 0.0000 3.3144
3.3144 3.3144 0.0000
Zn Cd Mo
1 2 1
Direct
0.0000 0.0000 0.0000
0.5000 0.5000 0.5000
0.7500 0.7500 0.7500
0.2500 0.2500 0.2500
```

Results
Symmetry = F-43m
Final energy = -2.998 eV/atom

---

Computed, not measured: crystalline ZrCdMo at its relaxed geometry at the PBE level of DFT.

Cell and atoms, written as POSCAR:
```
ZrCdMo
1.0
0.0000 3.2702 3.2702
3.2702 0.0000 3.2702
3.2702 3.2702 0.0000
Zr Cd Mo
1 1 1
Direct
0.0000 0.0000 0.0000
0.5000 0.5000 0.5000
0.7500 0.7500 0.7500
```

Results
Polymorph energy (0 for the lowest one) = 0.00 eV/f.u.
Symmetry = F-43m

---

Computed, not measured: crystalline CdN at its relaxed geometry at the PBE level of DFT.

Cell and atoms, written as POSCAR:
```
CdN
1.0
3.3014 0.0000 0.0000
-1.6507 2.8591 0.0000
0.0000 0.0000 2.9027
Cd N
1 1
Direct
0.0000 0.0000 0.0000
0.3333 0.6667 0.5000
```

Results
Polymorph energy (0 for the lowest one) = 0.31 eV/f.u.
Symmetry = P-6m2

---

Computed, not measured: crystalline CdN at its relaxed geometry at the PBE level of DFT.

Cell and atoms, written as POSCAR:
```
CdN
1.0
2.9461 0.0000 0.0000
0.0000 2.9461 0.0000
0.0000 0.0000 2.9461
Cd N
1 1
Direct
0.0000 0.0000 0.0000
0.5000 0.5000 0.5000
```

Results
Polymorph energy (0 for the lowest one) = 0.71 eV/f.u.
Symmetry = Pm-3m

---

Computed, not measured: crystalline CdN at its relaxed geometry at the PBE level of DFT.

Cell and atoms, written as POSCAR:
```
CdN
1.0
3.5540 0.0000 0.0000
-1.7770 3.0778 0.0000
0.0000 0.0000 5.9495
Cd N
2 2
Direct
0.3333 0.6667 0.0000
0.6667 0.3333 0.5000
0.3333 0.6667 0.3672
0.6667 0.3333 0.8672
```

Results
Polymorph energy (0 for the lowest one) = 0.19 eV/f.u.
Symmetry = P6_3mc

---

Computed, not measured: crystalline CdN2 at its relaxed geometry at the PBE level of DFT.

Cell and atoms, written as POSCAR:
```
CdN2
1.0
0.0000 2.6549 2.6549
2.6549 0.0000 2.6549
2.6549 2.6549 0.0000
Cd N
1 2
Direct
0.0000 0.0000 0.0000
0.2500 0.2500 0.2500
0.7500 0.7500 0.7500
```

Results
Polymorph energy (0 for the lowest one) = 2.85 eV/f.u.
Symmetry = Fm-3m

---

Computed, not measured: crystalline CdN2 at its relaxed geometry at the PBE level of DFT.

Cell and atoms, written as POSCAR:
```
CdN2
1.0
-1.6534 1.6534 3.5955
1.6534 -1.6534 3.5955
1.6534 1.6534 -3.5955
Cd N
1 2
Direct
0.0000 0.0000 0.0000
0.4085 0.4085 0.0000
0.5915 0.5915 0.0000
```

Results
Polymorph energy (0 for the lowest one) = 0.00 eV/f.u.
Symmetry = I4/mmm